! AcGe2As, relaxed, DFT PBE-GGA; values from VASP
&SYSTEM
  ibrav = 0, nat = 4, ntyp = 3
/
ATOMIC_SPECIES
Ac 227.00 Ac.upf
Ge 72.64 Ge.upf
As 74.92 As.upf
CELL_PARAMETERS angstrom
-1.665 -2.452 3.687
-0.178 -4.724 -0.187
4.225 -2.654 3.178
ATOMIC_POSITIONS crystal
Ac 0.500 0.500 0.500
Ge 0.705 0.705 0.886
Ge 0.295 0.295 0.114
As 0.000 0.000 0.000
! total magnetization = 0.0 μB/f.u.
! theoretical density = 7.30 Mg/m³
! crystal system = trigonal
! DFT total energy = -4.834 eV per atom
! V = 102 Å³ per cell
! relative energy among the computed polymorphs = 7.58 kJ per mole of atoms

! Ac5GeAs4, relaxed, DFT PBE-GGA; values from VASP
&SYSTEM
  ibrav = 0, nat = 10, ntyp = 3
/
ATOMIC_SPECIES
Ac 227.00 Ac.upf
Ge 72.64 Ge.upf
As 74.92 As.upf
CELL_PARAMETERS angstrom
-5.817 -2.549 0.988
0.161 -7.416 2.724
-2.848 1.215 7.270
ATOMIC_POSITIONS crystal
Ac 0.899 0.406 0.799
Ac 0.304 0.799 0.594
Ac 0.698 0.201 0.406
Ac 0.103 0.594 0.201
Ac 0.501 0.000 0.000
Ge 0.001 0.000 0.000
As 0.401 0.400 0.799
As 0.802 0.799 0.600
As 0.200 0.201 0.400
As 0.601 0.600 0.201
! total magnetization = 0.0 μB/f.u.
! theoretical density = 7.47 Mg/m³
! crystal system = tetragonal
! DFT total energy = -5.655 eV per atom
! V = 335 Å³ per cell